NbOsPd after structural relaxation, computed with PBE-GGA.

Properties
M_tot: 0.00 μB/f.u.
DOS(E_F): 1.172 states/eV per atom
formation energy from the elements: -63 meV/atom

Cell: 2.7843 4.2236 8.3153 Å, 90.00 99.63 90.00°
With the nearest neighbours (Å) after each atom.
Fractional coordinates of all 6 atoms:
Nb  0.1182  0.2500  0.2375  2 Nb 2.78, 6 Os 2.83-2.97, 5 Pd 2.83-2.93
Nb  0.8818  0.7500  0.7625  2 Nb 2.78, 6 Os 2.83-2.97, 5 Pd 2.83-2.93
Os  0.4611  0.2500  0.9178  4 Os 2.51-2.78, 1 Pd 2.75
Os  0.5389  0.7500  0.0822  4 Os 2.51-2.78, 1 Pd 2.75
Pd  0.2916  0.2500  0.5826  1 Os 2.75, 6 Pd 2.78-2.87, 5 Nb 2.83-2.93
Pd  0.7084  0.7500  0.4174  1 Os 2.75, 6 Pd 2.78-2.87, 5 Nb 2.83-2.93

Nb2Os2Pd after structural relaxation, computed with PBE-GGA.

Properties
M_tot: 0.00 μB/f.u.
DOS(E_F): 0.818 states/eV per atom
formation energy from the elements: 417 meV/atom

Cell: 7.0958 7.0958 7.0958 Å, 148.97 148.97 44.46°
With the nearest neighbours (Å) after each atom.
Fractional coordinates of all 5 atoms:
Nb  0.1152  0.1152  0.0000  4 Os 2.60
Nb  0.8848  0.8848  0.0000  4 Os 2.60
Os  0.2500  0.7500  0.5000  4 Nb 2.60, 4 Os 2.68
Os  0.7500  0.2500  0.5000  4 Nb 2.60, 4 Os 2.68
Pd  0.5000  0.5000  0.0000  8 Nb 3.08

Looking at relative energy among the computed polymorphs for the records above, in order, we have 0; 463 meV per atom.